Rb4O: relaxed, PBE.

a b c (Å): 14.938 14.985 9.400
angles (deg): 90.00 90.00 90.00
Space group Fdd2 (No. 43)
One atom of each set of equivalent atoms:
Rb 0.092 0.410 0.000 [16 per cell]
Rb 0.094 0.407 0.583 [16 per cell]
O 0.000 0.000 0.303 [8 per cell]

Values from the calculation:
The calculation puts the volume at 52.61 Å³/atom. For the magnetic moment, the calculation gives 0.0 Bohr magnetons per cell. Its total energy is -2.282 eV per atom.



RbO: relaxed, PBE.

a b c (Å): 8.637 8.637 8.637
angles (deg): 90.00 90.00 90.00
Space group I-43m (No. 217)
One atom of each set of equivalent atoms:
Rb 0.173 0.173 0.827 [8 per cell]
O 0.152 0.152 0.152 [8 per cell]

Values from the calculation:
The calculation puts the volume at 40.26 Å³/atom. For the magnetic moment, the calculation gives 8.0 Bohr magnetons per cell. Its total energy is -3.451 eV per atom.



RbO: relaxed, PBE.

a b c (Å): 4.059 10.429 3.896
angles (deg): 90.00 90.00 90.00
Space group Cmcm (No. 63)
One atom of each set of equivalent atoms:
Rb 0.000 0.135 0.250 [4 per cell]
O 0.000 0.469 0.250 [4 per cell]

Values from the calculation:
The calculation puts the volume at 20.61 Å³/atom. For the magnetic moment, the calculation gives 0.0 Bohr magnetons per cell. Its total energy is -3.586 eV per atom.



| no. | formation energy (no corrections) (eV/atom) |
| --- | --- |
| 1 | -0.517 |
| 2 | -0.489 |
| 3 | -0.623 |